First-principles (GGA-PBE) data for RhAuSe2 after structural relaxation, as listed in Alexandria.

Summary:
The formation energy from raw total energies is 82 meV per atom. The total magnetization comes out at 0.00 μB per formula unit. Its raw total energy is -4.32 eV/atom. The crystal system is trigonal.

The structure in POSCAR format:
```
RhAuSe2
1.0
2.073 1.197 5.666
-2.073 1.197 5.666
0.000 -2.394 5.666
Rh Au Se
1 1 2
direct
0.000 0.000 0.000
0.450 0.450 0.450
0.301 0.301 0.301
0.850 0.850 0.850
```

***

First-principles (GGA-PBE) data for Rh2AuSe after structural relaxation, as listed in Alexandria.

Summary:
The formation energy from raw total energies is 203 meV per atom. The total magnetization comes out at 0.00 μB per formula unit. Its raw total energy is -5.16 eV/atom. The crystal system is tetragonal.

The structure in POSCAR format:
```
Rh2AuSe
1.0
4.675 0.000 0.000
0.000 4.675 0.000
0.000 0.000 2.937
Rh Au Se
2 1 1
direct
0.000 0.500 0.000
0.500 0.000 0.000
0.000 0.000 0.500
0.500 0.500 0.500
```

***

First-principles (GGA-PBE) data for RhAuSe2 after structural relaxation, as listed in Alexandria.

Summary:
The formation energy from raw total energies is -32 meV per atom. The total magnetization comes out at 0.00 μB per formula unit. Its raw total energy is -4.43 eV/atom. The crystal system is monoclinic.

The structure in POSCAR format:
```
RhAuSe2
1.0
5.839 -4.494 0.000
5.839 4.494 0.000
-5.615 0.000 12.719
Rh Au Se
8 8 16
direct
0.151 0.818 0.900
0.182 0.849 0.600
0.266 0.471 0.664
0.471 0.266 0.164
0.529 0.734 0.836
0.734 0.529 0.336
0.818 0.151 0.400
0.849 0.182 0.100
0.126 0.324 0.350
0.169 0.719 0.089
0.281 0.831 0.411
0.324 0.126 0.850
0.676 0.874 0.150
0.719 0.169 0.589
0.831 0.281 0.911
0.874 0.676 0.650
0.011 0.989 0.750
0.114 0.475 0.794
0.146 0.158 0.038
0.158 0.146 0.538
0.314 0.530 0.510
0.387 0.613 0.250
0.470 0.686 0.990
0.475 0.114 0.294
0.525 0.886 0.706
0.530 0.314 0.010
0.613 0.387 0.750
0.686 0.470 0.490
0.842 0.854 0.462
0.854 0.842 0.962
0.886 0.525 0.206
0.989 0.011 0.250
```

***

First-principles (GGA-PBE) data for RhAuSe2 after structural relaxation, as listed in Alexandria.

Summary:
The formation energy from raw total energies is -52 meV per atom. The total magnetization comes out at 0.00 μB per formula unit. Its raw total energy is -4.45 eV/atom. The crystal system is orthorhombic.

The structure in POSCAR format:
```
RhAuSe2
1.0
1.605 -11.507 0.000
1.605 11.507 0.000
0.000 0.000 4.301
Rh Au Se
2 2 4
direct
0.185 0.815 0.750
0.815 0.185 0.250
0.461 0.539 0.750
0.539 0.461 0.250
0.294 0.706 0.750
0.399 0.601 0.250
0.601 0.399 0.750
0.706 0.294 0.250
```

***

First-principles (GGA-PBE) data for Rh2AuSe after structural relaxation, as listed in Alexandria.

Summary:
The formation energy from raw total energies is 84 meV per atom. The total magnetization comes out at 0.00 μB per formula unit. Its raw total energy is -5.28 eV/atom. The crystal system is orthorhombic.

The structure in POSCAR format:
```
Rh2AuSe
1.0
2.913 0.000 0.000
0.000 3.889 0.000
0.000 0.000 5.874
Rh Au Se
2 1 1
direct
0.000 0.000 0.249
0.000 0.000 0.751
0.500 0.500 0.500
0.000 0.500 0.000
```

***

First-principles (GGA-PBE) data for RhAu3Se after structural relaxation, as listed in Alexandria.

Summary:
The formation energy from raw total energies is 935 meV per atom. The total magnetization comes out at 0.00 μB per formula unit. Its raw total energy is -3.20 eV/atom. The crystal system is cubic.

The structure in POSCAR format:
```
RhAu3Se
1.0
4.845 0.000 0.000
0.000 4.845 0.000
0.000 0.000 4.845
Rh Au Se
1 3 1
direct
0.000 0.000 0.000
0.000 0.500 0.500
0.500 0.000 0.500
0.500 0.500 0.000
0.500 0.500 0.500
```

***

First-principles (GGA-PBE) data for RhAuSe after structural relaxation, as listed in Alexandria.

Summary:
The formation energy from raw total energies is 202 meV per atom. The total magnetization comes out at 0.00 μB per formula unit. Its raw total energy is -4.50 eV/atom. The crystal system is cubic.

The structure in POSCAR format:
```
RhAuSe
1.0
0.000 3.087 3.087
3.087 0.000 3.087
3.087 3.087 0.000
Rh Au Se
1 1 1
direct
0.000 0.000 0.000
0.250 0.250 0.250
0.750 0.750 0.750
```

***

First-principles (GGA-PBE) data for RhAuSe after structural relaxation, as listed in Alexandria.

Summary:
The formation energy from raw total energies is -89 meV per atom. The total magnetization comes out at 0.00 μB per formula unit. Its raw total energy is -4.79 eV/atom. The crystal system is trigonal.

The structure in POSCAR format:
```
RhAuSe
1.0
3.373 0.000 0.000
-1.687 2.921 0.000
0.000 0.000 6.032
Rh Au Se
1 1 1
direct
0.000 0.000 0.000
0.333 0.667 0.678
0.667 0.333 0.229
```

***

First-principles (GGA-PBE) data for RhAuSe2 after structural relaxation, as listed in Alexandria.

Summary:
The formation energy from raw total energies is 103 meV per atom. The total magnetization comes out at 0.00 μB per formula unit. Its raw total energy is -4.30 eV/atom. The crystal system is orthorhombic.

The structure in POSCAR format:
```
RhAuSe2
1.0
-1.534 2.041 6.164
1.534 -2.041 6.164
1.534 2.041 -6.164
Rh Au Se
1 1 2
direct
0.000 0.000 0.000
0.787 0.287 0.500
0.162 0.662 0.500
0.443 0.443 0.000
```

***

First-principles (GGA-PBE) data for RhAuSe2 after structural relaxation, as listed in Alexandria.

Summary:
The formation energy from raw total energies is 343 meV per atom. The total magnetization comes out at 0.00 μB per formula unit. Its raw total energy is -4.06 eV/atom. The crystal system is tetragonal.

The structure in POSCAR format:
```
RhAuSe2
1.0
-1.979 1.979 4.533
1.979 -1.979 4.533
1.979 1.979 -4.533
Rh Au Se
1 1 2
direct
0.000 0.000 0.000
0.750 0.250 0.500
0.250 0.750 0.500
0.500 0.500 0.000
```

***

First-principles (GGA-PBE) data for RhAu2Se after structural relaxation, as listed in Alexandria.

Summary:
The formation energy from raw total energies is 96 meV per atom. The total magnetization comes out at 0.00 μB per formula unit. Its raw total energy is -4.25 eV/atom. The crystal system is monoclinic.

The structure in POSCAR format:
```
RhAu2Se
1.0
5.258 -1.633 0.000
5.258 1.633 0.000
-0.815 0.000 4.520
Rh Au Se
1 2 1
direct
0.000 0.000 0.000
0.274 0.274 0.898
0.442 0.442 0.503
0.645 0.645 0.245
```

***

First-principles (GGA-PBE) data for Rh2AuSe after structural relaxation, as listed in Alexandria.

Summary:
The formation energy from raw total energies is 57 meV per atom. The total magnetization comes out at 0.00 μB per formula unit. Its raw total energy is -5.31 eV/atom. The crystal system is tetragonal.

The structure in POSCAR format:
```
Rh2AuSe
1.0
3.040 0.000 0.000
0.000 3.040 0.000
0.000 0.000 6.866
Rh Au Se
2 1 1
direct
0.000 0.000 0.220
0.000 0.000 0.780
0.500 0.500 0.500
0.500 0.500 0.000
```

***

First-principles (GGA-PBE) data for Sm6Rh2AuSe3 after structural relaxation, as listed in Alexandria.

Summary:
The formation energy from raw total energies is -1235 meV per atom. The total magnetization comes out at 0.00 μB per formula unit. Its raw total energy is -5.96 eV/atom. The crystal system is monoclinic.

The structure in POSCAR format:
```
Sm6Rh2AuSe3
1.0
3.539 -6.132 0.000
3.539 6.132 0.000
-2.364 0.000 7.241
Sm Rh Au Se
6 2 1 3
direct
0.070 0.422 0.766
0.225 0.225 0.231
0.422 0.070 0.766
0.578 0.930 0.234
0.775 0.775 0.769
0.930 0.578 0.234
0.167 0.833 0.000
0.833 0.167 0.000
0.500 0.500 0.000
0.000 0.000 0.500
0.338 0.662 0.500
0.662 0.338 0.500
```

***

First-principles (GGA-PBE) data for Tb6Rh2AuSe3 after structural relaxation, as listed in Alexandria.

Summary:
The formation energy from raw total energies is -1256 meV per atom. The total magnetization comes out at 0.00 μB per formula unit. Its raw total energy is -5.94 eV/atom. The crystal system is monoclinic.

The structure in POSCAR format:
```
Tb6Rh2AuSe3
1.0
3.476 -6.021 0.000
3.476 6.021 0.000
-2.321 0.000 7.136
Tb Rh Au Se
6 2 1 3
direct
0.070 0.422 0.767
0.225 0.225 0.231
0.422 0.070 0.767
0.578 0.930 0.233
0.775 0.775 0.769
0.930 0.578 0.233
0.168 0.832 0.000
0.832 0.168 0.000
0.500 0.500 0.000
0.000 0.000 0.500
0.338 0.662 0.500
0.662 0.338 0.500
```

***

First-principles (GGA-PBE) data for Th4RhAuSe2 after structural relaxation, as listed in Alexandria.

Summary:
The formation energy from raw total energies is -1105 meV per atom. The total magnetization comes out at 0.00 μB per formula unit. Its raw total energy is -7.01 eV/atom. The crystal system is monoclinic.

The structure in POSCAR format:
```
Th4RhAuSe2
1.0
7.235 0.000 0.000
0.000 4.187 0.000
-2.380 0.000 7.226
Th Rh Au Se
4 1 1 2
direct
0.233 0.000 0.230
0.238 0.500 0.760
0.762 0.500 0.240
0.767 0.000 0.770
0.000 0.500 0.000
0.500 0.000 0.000
0.000 0.000 0.500
0.500 0.500 0.500
```

***

First-principles (GGA-PBE) data for Th6Rh2AuSe3 after structural relaxation, as listed in Alexandria.

Summary:
The formation energy from raw total energies is -1148 meV per atom. The total magnetization comes out at 0.00 μB per formula unit. Its raw total energy is -7.23 eV/atom. The crystal system is monoclinic.

The structure in POSCAR format:
```
Th6Rh2AuSe3
1.0
3.604 -6.230 0.000
3.604 6.230 0.000
-2.406 0.000 7.260
Th Rh Au Se
6 2 1 3
direct
0.073 0.422 0.768
0.226 0.226 0.227
0.422 0.073 0.768
0.578 0.927 0.232
0.774 0.774 0.773
0.927 0.578 0.232
0.168 0.832 0.000
0.832 0.168 0.000
0.500 0.500 0.000
0.000 0.000 0.500
0.340 0.660 0.500
0.660 0.340 0.500
```

***

First-principles (GGA-PBE) data for Tl2RhAuSe after structural relaxation, as listed in Alexandria.

Summary:
The formation energy from raw total energies is 903 meV per atom. The total magnetization comes out at 1.60 μB per formula unit. Its raw total energy is -2.87 eV/atom. The crystal system is tetragonal.

The structure in POSCAR format:
```
Tl2RhAuSe
1.0
5.877 0.000 0.000
0.000 5.877 0.000
0.000 0.000 4.795
Tl Rh Au Se
2 1 1 1
direct
0.000 0.500 0.000
0.500 0.000 0.000
0.000 0.000 0.500
0.500 0.500 0.500
0.500 0.500 0.000
```

***

First-principles (GGA-PBE) data for TlRhAuSe after structural relaxation, as listed in Alexandria.

Summary:
The formation energy from raw total energies is -127 meV per atom. The total magnetization comes out at 0.00 μB per formula unit. Its raw total energy is -4.25 eV/atom. The crystal system is tetragonal.

The structure in POSCAR format:
```
TlRhAuSe
1.0
3.986 0.000 0.000
0.000 3.986 0.000
0.000 0.000 11.978
Tl Rh Au Se
2 2 2 2
direct
0.250 0.250 0.198
0.750 0.750 0.802
0.250 0.750 0.500
0.750 0.250 0.500
0.250 0.750 0.000
0.750 0.250 0.000
0.250 0.250 0.623
0.750 0.750 0.377
```

***

First-principles (GGA-PBE) data for Y6Rh2AuSe3 after structural relaxation, as listed in Alexandria.

Summary:
The formation energy from raw total energies is -1244 meV per atom. The total magnetization comes out at 0.00 μB per formula unit. Its raw total energy is -6.85 eV/atom. The crystal system is monoclinic.

The structure in POSCAR format:
```
Y6Rh2AuSe3
1.0
3.473 -6.014 0.000
3.473 6.014 0.000
-2.317 0.000 7.104
Y Rh Au Se
6 2 1 3
direct
0.071 0.421 0.765
0.226 0.226 0.232
0.421 0.071 0.765
0.579 0.929 0.235
0.774 0.774 0.768
0.929 0.579 0.235
0.168 0.832 0.000
0.832 0.168 0.000
0.500 0.500 0.000
0.000 0.000 0.500
0.338 0.662 0.500
0.662 0.338 0.500
```

***

First-principles (GGA-PBE) data for SiRh2Au after structural relaxation, as listed in Alexandria.

Summary:
The formation energy from raw total energies is -103 meV per atom. The total magnetization comes out at 0.00 μB per formula unit. Its raw total energy is -5.95 eV/atom. The crystal system is orthorhombic.

The structure in POSCAR format:
```
SiRh2Au
1.0
2.782 0.000 0.000
0.000 3.728 0.000
0.000 0.000 5.959
Si Rh Au
1 2 1
direct
0.000 0.000 0.000
0.000 0.000 0.601
0.500 0.500 0.874
0.500 0.500 0.343
```

***

First-principles (GGA-PBE) data for SiRh2Au after structural relaxation, as listed in Alexandria.

Summary:
The formation energy from raw total energies is -167 meV per atom. The total magnetization comes out at 0.00 μB per formula unit. Its raw total energy is -6.02 eV/atom. The crystal system is tetragonal.

The structure in POSCAR format:
```
SiRh2Au
1.0
3.988 0.000 0.000
0.000 3.988 0.000
0.000 0.000 3.679
Si Rh Au
1 2 1
direct
0.000 0.000 0.000
0.000 0.500 0.500
0.500 0.000 0.500
0.500 0.500 0.000
```

***

First-principles (GGA-PBE) data for Si4RhAu after structural relaxation, as listed in Alexandria.

Summary:
The formation energy from raw total energies is 402 meV per atom. The total magnetization comes out at 0.00 μB per formula unit. Its raw total energy is -4.99 eV/atom. The crystal system is cubic.

The structure in POSCAR format:
```
Si4RhAu
1.0
0.000 3.577 3.577
3.577 0.000 3.577
3.577 3.577 0.000
Si Rh Au
4 1 1
direct
0.124 0.124 0.124
0.124 0.124 0.627
0.124 0.627 0.124
0.627 0.124 0.124
0.750 0.750 0.750
0.500 0.500 0.500
```

***

First-principles (GGA-PBE) data for SiRh2Au2 after structural relaxation, as listed in Alexandria.

Summary:
The formation energy from raw total energies is -190 meV per atom. The total magnetization comes out at 0.00 μB per formula unit. Its raw total energy is -5.53 eV/atom. The crystal system is tetragonal.

The structure in POSCAR format:
```
SiRh2Au2
1.0
6.061 0.000 0.000
0.000 6.061 0.000
0.000 0.000 4.491
Si Rh Au
2 4 4
direct
0.000 0.000 0.000
0.500 0.500 0.000
0.150 0.350 0.000
0.350 0.850 0.000
0.650 0.150 0.000
0.850 0.650 0.000
0.166 0.666 0.500
0.334 0.166 0.500
0.666 0.834 0.500
0.834 0.334 0.500
```

***

First-principles (GGA-PBE) data for SiRh4Au after structural relaxation, as listed in Alexandria.

Summary:
The formation energy from raw total energies is 420 meV per atom. The total magnetization comes out at 0.02 μB per formula unit. Its raw total energy is -5.93 eV/atom. The crystal system is cubic.

The structure in POSCAR format:
```
SiRh4Au
1.0
0.000 3.624 3.624
3.624 0.000 3.624
3.624 3.624 0.000
Si Rh Au
1 4 1
direct
0.000 0.000 0.000
0.375 0.375 0.375
0.375 0.375 0.875
0.375 0.875 0.375
0.875 0.375 0.375
0.750 0.750 0.750
```

***

First-principles (GGA-PBE) data for SiRh2Au after structural relaxation, as listed in Alexandria.

Summary:
The formation energy from raw total energies is -328 meV per atom. The total magnetization comes out at 0.00 μB per formula unit. Its raw total energy is -6.18 eV/atom. The crystal system is monoclinic.

The structure in POSCAR format:
```
SiRh2Au
1.0
2.913 0.000 0.000
0.000 3.637 0.000
-1.191 0.000 5.667
Si Rh Au
1 2 1
direct
0.000 0.000 0.000
0.373 0.500 0.217
0.627 0.500 0.783
0.000 0.000 0.500
```

***

First-principles (GGA-PBE) data for SiRhAu2 after structural relaxation, as listed in Alexandria.

Summary:
The formation energy from raw total energies is -245 meV per atom. The total magnetization comes out at 0.00 μB per formula unit. Its raw total energy is -5.08 eV/atom. The crystal system is monoclinic.

The structure in POSCAR format:
```
SiRhAu2
1.0
2.905 0.000 0.000
0.000 3.533 0.000
-1.415 0.000 6.338
Si Rh Au
1 1 2
direct
0.000 0.000 0.000
0.440 0.500 0.875
0.146 0.500 0.291
0.789 0.000 0.576
```